HoNpCd2O8: optimized geometry, PBE.

a b c (Å): 5.261 4.662 6.927
angles (deg): 90.00 90.00 87.01
Positions (direct):
Cd: 0.500 0.500 0.245
O: 0.422 0.140 0.500
O: 0.861 0.239 0.764
O: 0.701 0.774 0.000
Ho: 0.000 0.000 0.500
O: 0.578 0.860 0.500
O: 0.139 0.761 0.236
Cd: 0.500 0.500 0.755
Np: 0.000 0.000 0.000
O: 0.139 0.761 0.764
O: 0.299 0.226 0.000
O: 0.861 0.239 0.236

Computed properties:
- SG = P2/m (10)
- total DFT energy (no corrections) (eV for the cell shown) = -82.25
- spin magnetization (μB/atom) = 0.000
- formation energy without anion corrections (eV/f.u.) = -23.2

---

BaPu2RhO8: optimized geometry, PBE.

a b c (Å): 6.275 6.275 6.895
angles (deg): 90.00 90.00 120.00
Each line ends with the local moment (μB).
Positions (direct):
O: 0.850 0.700 0.169  -0.13
O: 0.150 0.850 0.831  -0.13
O: 0.667 0.333 0.508  -0.19
Pu: 0.333 0.667 0.768  3.28
O: 0.150 0.300 0.831  -0.13
O: 0.300 0.150 0.169  -0.13
Ba: 0.000 0.000 0.500  0.00
O: 0.700 0.850 0.831  -0.13
Pu: 0.667 0.333 0.232  3.28
O: 0.850 0.150 0.169  -0.13
O: 0.333 0.667 0.492  -0.19
Rh: 0.000 0.000 0.000  -0.42

Computed properties:
- SG = P-3m1 (164)
- N(E_F) (states/eV per cell) = 11.7
- total DFT energy (no corrections) (eV for the cell shown) = -101.09
- spin magnetization (μB/atom) = 0.415
- formation energy without anion corrections (eV/f.u.) = -23.5

---

UAs2Pd: optimized geometry, PBE.

a b c (Å): 4.753 4.753 4.753
angles (deg): 60.00 60.00 60.00
Each line ends with the local moment (μB).
Positions (direct):
Pd: 0.500 0.500 0.500  0.08
As: 0.750 0.750 0.750  0.00
U: 0.000 0.000 0.000  1.55
As: 0.250 0.250 0.250  0.00

Computed properties:
- SG = Fm-3m (225)
- N(E_F) (states/eV per cell) = 6.4
- total DFT energy (no corrections) (eV for the cell shown) = -27.28
- spin magnetization (μB/atom) = 0.429

---

BaCa2AlPt: optimized geometry, PBE.

a b c (Å): 5.647 5.647 4.994
angles (deg): 90.00 90.00 90.00
Positions (direct):
Pt: 0.000 0.000 0.000
Ba: 0.500 0.500 0.500
Ca: 0.500 0.000 0.000
Al: 0.000 0.000 0.500
Ca: 0.000 0.500 0.000

Computed properties:
- SG = P4/mmm (123)
- N(E_F) (states/eV per cell) = 3.1
- total DFT energy (no corrections) (eV for the cell shown) = -18.02
- spin magnetization (μB/atom) = 0.000

---

K2SI: optimized geometry, PBE.

a b c (Å): 4.160 4.160 7.883
angles (deg): 90.00 90.00 90.00
Each line ends with the local moment (μB).
Positions (direct):
K: 0.000 0.000 0.774  0.00
K: 0.000 0.000 0.226  0.00
S: 0.500 0.500 0.000  0.51
I: 0.500 0.500 0.500  0.09

Computed properties:
- SG = P4/mmm (123)
- N(E_F) (states/eV per cell) = 2.9
- total DFT energy (no corrections) (eV for the cell shown) = -11.44
- spin magnetization (μB/atom) = 0.254
- energy relative to the lowest polymorph listed for this composition (eV per atom) = 0.003
- formation energy without anion corrections (eV/f.u.) = -3.6

---

LiCrIn2Cl6: optimized geometry, PBE.

a b c (Å): 6.990 6.993 9.884
angles (deg): 90.00 90.00 90.00
Each line ends with the local moment (μB).
Positions (direct):
Cl: 0.239 0.989 0.000  -0.01
Cl: 0.239 0.511 0.000  -0.01
Cl: 0.000 0.750 0.761  -0.01
Cl: 0.261 0.011 0.500  -0.01
In: 0.500 0.750 0.750  0.01
Cl: 0.739 0.489 0.500  -0.01
Cl: 0.500 0.250 0.261  -0.01
Cl: 0.000 0.750 0.239  -0.01
Li: 0.500 0.251 0.000  -0.01
Cl: 0.761 0.511 0.000  -0.01
In: 0.500 0.750 0.250  0.01
In: 0.000 0.250 0.750  0.01
Li: 0.000 0.749 0.500  -0.01
Cl: 0.500 0.250 0.739  -0.01
Cr: 0.000 0.750 0.000  2.83
Cr: 0.500 0.250 0.500  2.83
Cl: 0.261 0.489 0.500  -0.01
Cl: 0.739 0.011 0.500  -0.01
In: 0.000 0.250 0.250  0.01
Cl: 0.761 0.989 0.000  -0.01

Computed properties:
- SG = Pmmn (59)
- total DFT energy (no corrections) (eV for the cell shown) = -78.46
- spin magnetization (μB/atom) = 0.300
- formation energy without anion corrections (eV/f.u.) = -11.1

---

Te6IrRh: optimized geometry, PBE.

a b c (Å): 6.584 6.637 6.638
angles (deg): 58.83 60.28 60.25
Positions (direct):
Te: 0.948 0.551 0.266
Ir: 0.500 0.500 0.500
Te: 0.561 0.251 0.249
Rh: 0.000 0.000 0.000
Te: 0.269 0.949 0.230
Te: 0.731 0.051 0.770
Te: 0.052 0.449 0.734
Te: 0.439 0.749 0.751

Computed properties:
- SG = P-1 (2)
- N(E_F) (states/eV per cell) = 2.9
- total DFT energy (no corrections) (eV for the cell shown) = -36.94
- spin magnetization (μB/atom) = 0.000
- energy relative to the lowest polymorph listed for this composition (eV per atom) = 0.000
- formation energy without anion corrections (eV/f.u.) = -1.9

---

Mg2CdGaAu4: optimized geometry, PBE.

a b c (Å): 4.670 4.670 8.161
angles (deg): 73.37 73.37 60.00
Positions (direct):
Mg: 0.252 0.252 0.243
Au: 0.870 0.870 0.389
Mg: 0.748 0.748 0.757
Cd: 0.000 0.000 0.000
Au: 0.620 0.620 0.140
Au: 0.130 0.130 0.611
Au: 0.380 0.380 0.860
Ga: 0.500 0.500 0.500

Computed properties:
- SG = R-3m (166)
- N(E_F) (states/eV per cell) = 2.7
- total DFT energy (no corrections) (eV for the cell shown) = -23.38
- spin magnetization (μB/atom) = 0.000

---

TbTlTc2O8: optimized geometry, PBE.

a b c (Å): 6.035 6.035 7.760
angles (deg): 90.00 90.00 120.00
Each line ends with the local moment (μB).
Positions (direct):
O: 0.342 0.171 0.321  0.04
O: 0.658 0.829 0.679  0.04
Tb: 0.000 0.000 0.500  0.09
O: 0.828 0.658 0.321  0.04
O: 0.333 0.667 0.982  0.08
O: 0.172 0.342 0.679  0.04
O: 0.171 0.828 0.679  0.04
O: 0.667 0.333 0.018  0.08
O: 0.829 0.172 0.321  0.04
Tl: 0.000 0.000 0.000  0.01
Tc: 0.667 0.333 0.243  0.64
Tc: 0.333 0.667 0.757  0.64

Computed properties:
- SG = P-3m1 (164)
- N(E_F) (states/eV per cell) = 7.8
- total DFT energy (no corrections) (eV for the cell shown) = -88.47
- spin magnetization (μB/atom) = 0.169
- formation energy without anion corrections (eV/f.u.) = -21.1

---

Cd2AsSe: optimized geometry, PBE.

a b c (Å): 3.628 3.628 7.754
angles (deg): 90.00 90.00 112.16
Positions (direct):
Se: 0.500 0.500 0.250
Cd: 0.000 0.000 0.003
As: 0.500 0.500 0.750
Cd: 0.000 0.000 0.497

Computed properties:
- SG = Cmmm (65)
- N(E_F) (states/eV per cell) = 2.1
- total DFT energy (no corrections) (eV for the cell shown) = -9.72
- spin magnetization (μB/atom) = 0.000
- energy relative to the lowest polymorph listed for this composition (eV per atom) = 0.239
- formation energy without anion corrections (eV/f.u.) = 0.2

---

CuTeWI2: optimized geometry, PBE.

a b c (Å): 5.219 5.219 5.308
angles (deg): 90.00 90.00 90.00
Each line ends with the local moment (μB).
Positions (direct):
I: 0.000 0.500 0.000  -0.06
Cu: 0.000 0.000 0.000  0.00
W: 0.500 0.500 0.500  3.19
Te: 0.000 0.000 0.500  -0.23
I: 0.500 0.000 0.000  -0.06

Computed properties:
- SG = P4/mmm (123)
- N(E_F) (states/eV per cell) = 5.2
- total DFT energy (no corrections) (eV for the cell shown) = -16.61
- spin magnetization (μB/atom) = 0.775
- energy relative to the lowest polymorph listed for this composition (eV per atom) = 0.395
- formation energy without anion corrections (eV/f.u.) = 6.7

---

NiAs3Au: optimized geometry, PBE.

a b c (Å): 4.622 4.622 4.622
angles (deg): 90.00 90.00 90.00
Positions (direct):
Ni: 0.000 0.000 0.000
Au: 0.500 0.500 0.500
As: 0.500 0.000 0.000
As: 0.000 0.500 0.000
As: 0.000 0.000 0.500

Computed properties:
- SG = Pm-3m (221)
- N(E_F) (states/eV per cell) = 4.4
- total DFT energy (no corrections) (eV for the cell shown) = -20.67
- spin magnetization (μB/atom) = 0.000
- energy relative to the lowest polymorph listed for this composition (eV per atom) = 0.000

---

Na3Sr2Cu2: optimized geometry, PBE.

a b c (Å): 4.326 4.360 12.185
angles (deg): 100.31 90.00 90.00
Positions (direct):
Na: 0.500 0.580 0.160
Sr: 0.000 0.179 0.358
Sr: 0.000 0.821 0.642
Na: 0.500 0.420 0.840
Cu: 0.500 0.276 0.551
Na: 0.000 0.000 0.000
Cu: 0.500 0.724 0.449

Computed properties:
- SG = Cmmm (65)
- N(E_F) (states/eV per cell) = 4.3
- total DFT energy (no corrections) (eV for the cell shown) = -15.78
- spin magnetization (μB/atom) = 0.000

---

Na2CdGe4Pt3: optimized geometry, PBE.

a b c (Å): 4.413 4.413 10.361
angles (deg): 90.00 90.00 90.00
Positions (direct):
Pt: 0.000 0.000 0.500
Na: 0.000 0.500 0.754
Na: 0.500 0.000 0.246
Ge: 0.000 0.000 0.000
Ge: 0.500 0.500 0.000
Ge: 0.500 0.000 0.642
Ge: 0.000 0.500 0.358
Cd: 0.500 0.500 0.500
Pt: 0.000 0.500 0.120
Pt: 0.500 0.000 0.880

Computed properties:
- SG = P-4m2 (115)
- N(E_F) (states/eV per cell) = 4.4
- total DFT energy (no corrections) (eV for the cell shown) = -43.49
- spin magnetization (μB/atom) = 0.000

---

Pm2AgGe2: optimized geometry, PBE.

a b c (Å): 4.299 5.840 5.840
angles (deg): 62.31 68.41 68.41
Positions (direct):
Ge: 0.500 0.717 0.283
Ge: 0.500 0.283 0.717
Ag: 0.000 0.000 0.000
Pm: 0.792 0.708 0.708
Pm: 0.208 0.292 0.292

Computed properties:
- SG = Immm (71)
- N(E_F) (states/eV per cell) = 4.1
- total DFT energy (no corrections) (eV for the cell shown) = -24.69
- spin magnetization (μB/atom) = 0.000
- energy relative to the lowest polymorph listed for this composition (eV per atom) = 0.059

---

Mg2TiRh2: optimized geometry, PBE.

a b c (Å): 7.140 7.140 3.189
angles (deg): 90.00 90.00 90.00
Positions (direct):
Rh: 0.156 0.344 0.000
Mg: 0.356 0.144 0.500
Ti: 0.500 0.500 0.000
Mg: 0.644 0.856 0.500
Ti: 0.000 0.000 0.000
Rh: 0.344 0.844 0.000
Rh: 0.844 0.656 0.000
Mg: 0.856 0.356 0.500
Rh: 0.656 0.156 0.000
Mg: 0.144 0.644 0.500

Computed properties:
- SG = P4/mbm (127)
- N(E_F) (states/eV per cell) = 5.9
- total DFT energy (no corrections) (eV for the cell shown) = -55.36
- spin magnetization (μB/atom) = 0.000
- energy relative to the lowest polymorph listed for this composition (eV per atom) = 0.217

---

Li4Ho3HfTe8: optimized geometry, PBE.

a b c (Å): 8.494 8.599 8.494
angles (deg): 119.61 120.00 90.00
Positions (direct):
Te: 0.756 0.249 0.512
Li: 0.500 0.000 0.000
Li: 0.000 0.000 0.000
Hf: 0.000 0.500 0.000
Li: 0.500 0.000 0.500
Te: 0.753 0.759 0.506
Ho: 0.000 0.500 0.500
Ho: 0.500 0.500 0.000
Li: 0.000 0.000 0.500
Te: 0.756 0.249 0.993
Ho: 0.500 0.500 0.500
Te: 0.763 0.751 0.007
Te: 0.244 0.751 0.488
Te: 0.247 0.241 0.494
Te: 0.244 0.751 0.007
Te: 0.237 0.249 0.993

Computed properties:
- SG = R-3m (166)
- N(E_F) (states/eV per cell) = 4.1
- total DFT energy (no corrections) (eV for the cell shown) = -74.96
- spin magnetization (μB/atom) = 0.000
- formation energy without anion corrections (eV/f.u.) = -18.5

---

Y4Er2Tm: optimized geometry, PBE.

a b c (Å): 3.539 9.370 8.516
angles (deg): 121.83 78.00 112.21
Positions (direct):
Er: 0.360 0.430 0.140
Y: 0.410 0.707 0.593
Er: 0.640 0.570 0.860
Y: 0.590 0.293 0.407
Y: 0.807 0.167 0.721
Tm: 0.000 0.000 0.000
Y: 0.193 0.833 0.279

Computed properties:
- SG = C2/m (12)
- N(E_F) (states/eV per cell) = 12.6
- total DFT energy (no corrections) (eV for the cell shown) = -39.21
- spin magnetization (μB/atom) = 0.000
- energy relative to the lowest polymorph listed for this composition (eV per atom) = 0.000

---

RbNa2Au: optimized geometry, PBE.

a b c (Å): 5.610 5.610 5.610
angles (deg): 60.00 60.00 60.00
Positions (direct):
Na: 0.250 0.250 0.250
Na: 0.750 0.750 0.750
Au: 0.500 0.500 0.500
Rb: 0.000 0.000 0.000

Computed properties:
- SG = Fm-3m (225)
- N(E_F) (states/eV per cell) = 1.6
- total DFT energy (no corrections) (eV for the cell shown) = -7.14
- spin magnetization (μB/atom) = 0.000
- energy relative to the lowest polymorph listed for this composition (eV per atom) = 0.121

---

Hf4Bi3N: optimized geometry, PBE.

a b c (Å): 5.048 8.543 10.043
angles (deg): 90.00 90.00 90.00
Positions (direct):
Hf: 0.065 0.952 0.500
Bi: 0.564 0.288 0.785
Hf: 0.565 0.048 0.000
Bi: 0.064 0.712 0.715
Hf: 0.064 0.098 0.792
Hf: 0.564 0.902 0.708
Hf: 0.564 0.902 0.292
Hf: 0.565 0.178 0.500
N: 0.064 0.070 0.000
Hf: 0.064 0.098 0.208
Bi: 0.064 0.712 0.285
Bi: 0.564 0.288 0.215
Bi: 0.565 0.666 0.000
N: 0.564 0.930 0.500
Bi: 0.065 0.334 0.500
Hf: 0.065 0.822 0.000

Computed properties:
- SG = Pmmn (59)
- N(E_F) (states/eV per cell) = 10.2
- total DFT energy (no corrections) (eV for the cell shown) = -125.81
- spin magnetization (μB/atom) = 0.000
- formation energy without anion corrections (eV/f.u.) = -3.1